This record from the Alexandria database describes crystalline Nd2VCoO6 at its relaxed geometry. The functional is GGA+U.

a b c (Å): 5.4498 5.7201 9.5188
angles (deg): 90.00 124.51 90.00
Closest atoms and distances in Å follow each position.
Space group P2_1/c (No. 14)
Asymmetric unit:
Nd  0.2361  0.0626  0.2488 [4 per cell]  6 O 2.34-2.62
V  0.0000  0.0000  0.5000 [2 per cell]  6 O 1.91-2.01
Co  0.5000  0.0000  0.0000 [2 per cell]  6 O 2.07-2.17
O  0.1405  0.2082  0.9475 [4 per cell]  1 V 2.01, 1 Co 2.10
O  0.2401  0.6862  0.9555 [4 per cell]  1 V 1.91
O  0.3390  0.0295  0.7443 [4 per cell]  1 V 2.00, 1 Co 2.07

Calculated values
calculated volume = 12.226 Å³/atom
E_tot = -7.750 eV/atom